Entry 1:
## AlZnSb2 (GGA-PBE)

Data for a relaxed structure of AlZnSb2.

Lattice parameters (Å, degrees): 3.9504 4.2932 5.9104 73.28 90.00 90.00
Fractional positions:
Sb1 0.0000 0.4892 0.5071
Al1 0.5000 0.7500 0.7500
Zn1 0.5000 0.2500 0.2500
Sb2 0.0000 0.0108 0.9929

Properties
- space group = P2/m, No. 10
- uncorrected formation energy (eV per atom) = 0.16
- crystal system = monoclinic
- polymorph energy (0 for the lowest one) (meV/atom) = 171



Entry 2:
## Zr7Pt10 (GGA-PBE)

Data for a relaxed structure of Zr7Pt10.

Lattice parameters (Å, degrees): 8.2303 8.2303 9.7186 90.00 90.00 107.74
Fractional positions:
Zr1 0.5000 0.5000 0.5000
Pt1 0.6447 0.9372 0.9993
Pt2 0.8553 0.5628 0.4993
Pt3 0.3528 0.6446 0.2912
Zr2 0.8171 0.8171 0.3174
Pt4 0.8528 0.1446 0.2088
Pt5 0.1446 0.8528 0.2088
Zr3 0.4990 0.9990 0.7500
Zr4 0.9990 0.4990 0.7500
Pt6 0.1447 0.4372 0.5007
Pt7 0.6472 0.3554 0.7088
Zr5 0.6898 0.3102 0.0000
Zr6 0.6829 0.6829 0.8174
Zr7 0.8102 0.1898 0.5000
Pt8 0.6079 0.6079 0.1075
Zr8 0.3102 0.6898 0.0000
Pt9 0.1472 0.8554 0.7912
Pt10 0.8554 0.1472 0.7912
Zr9 0.1898 0.8102 0.5000
Pt11 0.3554 0.6472 0.7088
Pt12 0.0628 0.3553 0.0007
Pt13 0.8921 0.8921 0.6075
Zr10 0.5010 0.0010 0.2500
Pt14 0.6446 0.3528 0.2912
Zr11 0.3171 0.3171 0.1826
Zr12 0.0010 0.5010 0.2500
Pt15 0.4372 0.1447 0.5007
Zr13 0.1829 0.1829 0.6826
Zr14 0.0000 0.0000 0.0000
Pt16 0.5628 0.8553 0.4993
Pt17 0.3921 0.3921 0.8925
Pt18 0.1079 0.1079 0.3925
Pt19 0.3553 0.0628 0.0007
Pt20 0.9372 0.6447 0.9993

Properties
- space group = Cmce, No. 64
- calculated formation energy (eV per atom) = -1.09
- crystal system = orthorhombic



Entry 3:
## SrNi2P (GGA-PBE)

Data for a relaxed structure of SrNi2P.

Lattice parameters (Å, degrees): 5.0374 5.0374 5.0374 132.82 132.82 68.94
Fractional positions:
P1 0.5000 0.5000 0.0000
Ni1 0.2500 0.7500 0.5000
Ni2 0.0000 0.0000 0.0000
Sr1 0.7500 0.2500 0.5000

Properties
- space group = I-4m2, No. 119
- calculated formation energy (eV per atom) = 0.21
- crystal system = tetragonal



Entry 4:
## TbDy4Y3Se8 (GGA-PBE)

Data for a relaxed structure of TbDy4Y3Se8.

Lattice parameters (Å, degrees): 8.1631 8.1684 8.1639 119.98 120.00 90.00
Fractional positions:
Dy1 0.5000 0.0000 0.0000
Se1 0.2496 0.2487 0.4992
Tb1 0.0000 0.5000 0.0000
Se2 0.2507 0.7515 0.5014
Y1 0.5000 0.5000 0.0000
Se3 0.7501 0.7515 0.0008
Se4 0.7493 0.2485 0.9992
Dy2 0.0000 0.0000 0.0000
Dy3 0.5000 0.0000 0.5000
Se5 0.2499 0.2485 0.9992
Se6 0.7504 0.7513 0.5008
Se7 0.7493 0.2485 0.4986
Y2 0.0000 0.5000 0.5000
Dy4 0.0000 0.0000 0.5000
Se8 0.2507 0.7515 0.0008
Y3 0.5000 0.5000 0.5000

Properties
- space group = R-3m, No. 166
- uncorrected formation energy (eV per atom) = -1.75
- crystal system = trigonal



Entry 5:
## Tl2AgRu (GGA-PBE)

Data for a relaxed structure of Tl2AgRu.

Lattice parameters (Å, degrees): 4.3527 4.3527 10.0280 77.47 77.47 90.00
Fractional positions:
Tl1 0.6111 0.1250 0.2500
Ru1 0.2500 0.7500 0.5000
Tl2 0.3750 0.3889 0.7500
Tl3 0.1389 0.6250 0.2500
Tl4 0.8750 0.8611 0.7500
Ag1 0.7500 0.2500 0.5000
Ru2 0.5000 0.5000 0.0000
Ag2 0.0000 0.0000 0.0000

Properties
- space group = I-42d, No. 122
- calculated formation energy (eV per atom) = 0.74
- crystal system = tetragonal
- polymorph energy (0 for the lowest one) (meV/atom) = 357



Entry 6:
## Ta2PtCl (GGA-PBE)

Data for a relaxed structure of Ta2PtCl.

Lattice parameters (Å, degrees): 5.5976 5.5976 4.7263 74.43 74.43 29.99
Fractional positions:
Cl1 0.5128 0.5128 0.5334
Ta1 0.9990 0.9990 0.1202
Ta2 0.7088 0.7088 0.7026
Pt1 0.2794 0.2794 0.1439

Properties
- space group = Cm, No. 8
- uncorrected formation energy (eV per atom) = -0.07
- crystal system = monoclinic
- polymorph energy (0 for the lowest one) (meV/atom) = 218



Entry 7:
## Rb2ReMoBr6 (GGA-PBE)

Data for a relaxed structure of Rb2ReMoBr6.

Lattice parameters (Å, degrees): 7.6025 7.6025 7.6055 60.01 60.01 90.00
Site moments in Bohr magnetons follow the coordinates.
Fractional positions:
Rb1 0.2500 0.7500 0.5000  0.00
Mo1 0.5000 0.5000 0.0000  3.22
Br1 0.2445 0.2445 0.5109  0.05
Rb2 0.7500 0.2500 0.5000  0.00
Br2 0.2451 0.7549 0.0000  0.05
Br3 0.2451 0.2451 0.0000  0.05
Br4 0.7549 0.7549 0.0000  0.05
Br5 0.7549 0.2451 0.0000  0.05
Re1 0.0000 0.0000 0.0000  2.28
Br6 0.7555 0.7555 0.4891  0.05

Properties
- space group = Fm-3m, No. 225
- uncorrected formation energy (eV per atom) = -0.47
- crystal system = cubic



Entry 8:
## NaIn3Se (GGA-PBE)

Data for a relaxed structure of NaIn3Se.

Lattice parameters (Å, degrees): 5.5300 5.5300 5.5300 90.00 90.00 90.00
Fractional positions:
In1 0.0000 0.0000 0.5000
Na1 0.0000 0.0000 0.0000
In2 0.5000 0.0000 0.0000
In3 0.0000 0.5000 0.0000
Se1 0.5000 0.5000 0.5000

Properties
- space group = Pm-3m, No. 221
- uncorrected formation energy (eV per atom) = 0.42
- crystal system = cubic
- polymorph energy (0 for the lowest one) (meV/atom) = 263



Entry 9:
## CaLa2Bi (GGA-PBE)

Data for a relaxed structure of CaLa2Bi.

Lattice parameters (Å, degrees): 9.4654 9.4654 7.4780 50.74 50.74 90.00
Site moments in Bohr magnetons follow the coordinates.
Fractional positions:
La1 0.0919 0.6250 0.2500  0.12
La2 0.3750 0.3419 0.7500  0.12
Ca1 0.2500 0.7500 0.5000  0.00
Ca2 0.5000 0.5000 0.0000  0.00
La3 0.6581 0.1250 0.2500  0.12
La4 0.8750 0.9081 0.7500  0.12
Bi1 0.7500 0.2500 0.5000  0.00
Bi2 0.0000 0.0000 0.0000  0.00

Properties
- space group = I-42d, No. 122
- calculated formation energy (eV per atom) = -0.22
- crystal system = tetragonal